(1)
Here is a relaxed structure of TiNbIr from Alexandria. Energies are from GGA-PBE.

```
TiNbIr
1.0
2.834 0.000 0.000
0.000 4.425 0.000
0.000 -2.213 3.832
Ir Nb Ti
1 1 1
Direct
0.003 0.000 0.000
0.664 0.333 0.667
0.333 0.667 0.333
```

Energy of formation, meV per atom: -429
Symmetry: P3m1, No. 156
Distance to the lowest polymorph of the same formula, meV per atom: 22

---

(2)
Here is a relaxed structure of Cs2Cd3Bi5 from Alexandria. Energies are from GGA-PBE.

```
Cs2Cd3Bi5
1.0
-2.007 1.697 7.422
5.281 -6.030 6.982
7.568 5.595 4.943
Cs Cd Bi
4 6 10
Direct
0.873 0.368 0.886
0.127 0.632 0.114
0.627 0.114 0.632
0.373 0.886 0.368
0.879 0.747 0.495
0.379 0.495 0.747
0.121 0.253 0.505
0.250 0.000 0.000
0.621 0.505 0.253
0.750 0.000 0.000
0.250 0.500 0.500
0.379 0.242 0.000
0.121 0.000 0.758
0.509 0.741 0.741
0.009 0.741 0.741
0.491 0.259 0.259
0.879 0.000 0.242
0.991 0.259 0.259
0.621 0.758 0.000
0.750 0.500 0.500
```

Energy of formation, meV per atom: -178
Symmetry: Ibam, No. 72
Distance to the lowest polymorph of the same formula, meV per atom: 0

---

(3)
Here is a relaxed structure of RbCa3Cu from Alexandria. Energies are from GGA-PBE.

```
RbCa3Cu
1.0
5.899 0.000 0.000
0.000 5.899 0.000
0.000 0.000 5.899
Ca Rb Cu
3 1 1
Direct
0.500 0.000 0.000
0.000 0.500 0.000
0.000 0.000 0.500
0.500 0.500 0.500
0.000 0.000 0.000
```

Energy of formation, meV per atom: 78
Symmetry: Pm-3m, No. 221
Distance to the lowest polymorph of the same formula, meV per atom: 0

---

(4)
Here is a relaxed structure of DyNbRu4 from Alexandria. Energies are from GGA-PBE.

```
DyNbRu4
1.0
-3.066 -0.718 4.167
-3.760 -3.624 -0.117
0.466 -4.340 2.869
Ru Nb Dy
4 1 1
Direct
0.625 0.625 0.625
0.125 0.625 0.625
0.625 0.625 0.125
0.625 0.125 0.625
0.250 0.250 0.250
0.000 0.000 0.000
```

Energy of formation, meV per atom: -114
Symmetry: F-43m, No. 216

---

(5)
Here is a relaxed structure of TiCl3 from Alexandria. Energies are from GGA-PBE.

```
TiCl3
1.0
-4.204 -5.162 -1.870
5.243 1.852 -4.111
3.400 -3.730 2.655
Cl Ti
6 2
Direct
0.000 0.282 0.250
0.718 0.000 0.750
0.000 0.718 0.750
0.282 0.000 0.250
0.718 0.718 0.250
0.282 0.282 0.750
0.000 0.000 0.500
0.000 0.000 0.000
```

Symmetry: P6_3/mcm, No. 193

---

(6)
Here is a relaxed structure of NaMnAlFe from Alexandria. Energies are from GGA-PBE.

```
NaMnAlFe
1.0
9.567 0.000 -0.063
0.000 2.728 0.000
-0.702 0.000 4.596
Fe Al Mn Na
2 2 2 2
Direct
0.334 0.000 0.231
0.334 0.500 0.731
0.116 0.000 0.824
0.116 0.500 0.324
0.533 0.500 0.136
0.533 0.000 0.636
0.816 0.500 0.570
0.816 0.000 0.070
```

Energy of formation, meV per atom: 362
Symmetry: Cm, No. 8
Distance to the lowest polymorph of the same formula, meV per atom: 156

---

Calculated values (states/eV per atom) of DOS(E_F) for the records, taken in order: 0.82, 0.49, 0.87, 1.39, 0.99, 0.88.
Calculated values (eV per atom) of total energy for the records, taken in order: -9.37, -2.56, -2.14, -8.74, -4.97, -5.31.
Calculated values (μB/f.u.) of total magnetization for the records, taken in order: 0.000, 0.000, 0.000, 0.000, 0.241, 0.002.